This record from the Alexandria database describes crystalline KCr2PbO8 at its relaxed geometry. The functional is PBE with a Hubbard U.

Cell lengths 5.4689, 5.4689, 8.1464 Å; angles 90.00, 90.00, 120.00 degrees
Last column: nearest neighbours and their distance in Å.
Space group P-3 (No. 147)
One atom of each set of equivalent atoms:
1 K 0.0000 0.0000 0.0000 (multiplicity 1)  12 O 3.15-3.19
2 Cr 0.3333 0.6667 0.7475 (multiplicity 2)  4 O 1.62-1.69
3 Pb 0.0000 0.0000 0.5000 (multiplicity 1)  6 O 2.33
4 O 0.0644 0.3556 0.6816 (multiplicity 6)  1 Cr 1.69
5 O 0.3333 0.6667 0.9468 (multiplicity 2)  1 Cr 1.62

Magnetic moment: 0.000 μB/atom
Total energy: -6.21 eV/atom